Record 1
Entry from the Alexandria database: MgNiB3 after structural relaxation (GGA-PBE).

```
MgNiB3
1.0
4.166 0.000 0.000
0.000 4.166 0.000
0.000 0.000 4.166
Ni Mg B
1 1 3
direct
0.500 0.500 0.500 Ni
0.000 0.000 0.000 Mg
0.000 0.500 0.000 B
0.000 0.000 0.500 B
0.500 0.000 0.000 B
```

Final energy in eV/atom: -2.946
ΔH_f (0 K) in meV per atom: 2536
Energy above the lowest structure with this stoichiometry in eV/f.u.: 8.22
Calculated volume in A^3/atom: 14.46
Space group: Pm-3m, No. 221

Record 2
Entry from the Alexandria database: Pm2DyTi after structural relaxation (GGA-PBE).

```
Pm2DyTi
1.0
3.912 0.000 0.000
0.000 3.912 0.000
0.000 0.000 7.502
Pm Ti Dy
2 1 1
direct
0.000 0.000 0.785 Pm
0.000 0.000 0.215 Pm
0.500 0.500 0.000 Ti
0.500 0.500 0.500 Dy
```

Final energy in eV/atom: -5.268
ΔH_f (0 K) in meV per atom: 232
Energy above the lowest structure with this stoichiometry in eV/f.u.: 0.00
Calculated volume in A^3/atom: 28.70
Space group: P4/mmm, No. 123

Record 3
Entry from the Alexandria database: AgSn2Pd after structural relaxation (GGA-PBE).

```
AgSn2Pd
1.0
-0.155 3.115 -3.222
-0.235 -1.236 -4.304
-5.265 0.653 -2.236
Ag Sn Pd
1 2 1
direct
0.490 0.490 0.530 Ag
0.067 0.067 0.798 Sn
0.268 0.268 0.195 Sn
0.674 0.674 0.977 Pd
```

Final energy in eV/atom: -4.186
ΔH_f (0 K) in meV per atom: -173
Energy above the lowest structure with this stoichiometry in eV/f.u.: 0.00
Calculated volume in A^3/atom: 22.39
Space group: R3m, No. 160

Record 4
Entry from the Alexandria database: Hf4Sc9Al11 after structural relaxation (GGA-PBE).

```
Hf4Sc9Al11
1.0
3.055 0.000 0.000
0.000 12.053 -3.189
0.000 1.804 12.336
Hf Sc Al
4 9 11
direct
0.500 0.569 0.733 Hf
0.500 0.431 0.267 Hf
0.500 0.733 0.569 Hf
0.500 0.267 0.431 Hf
0.500 0.622 0.140 Sc
0.500 0.378 0.860 Sc
0.500 0.140 0.622 Sc
0.500 0.860 0.378 Sc
0.500 0.794 0.970 Sc
0.500 0.206 0.030 Sc
0.500 0.970 0.794 Sc
0.500 0.030 0.206 Sc
0.500 0.500 0.500 Sc
0.000 0.582 0.932 Al
0.000 0.418 0.068 Al
0.000 0.932 0.582 Al
0.000 0.068 0.418 Al
0.000 0.639 0.361 Al
0.000 0.361 0.639 Al
0.000 0.829 0.171 Al
0.000 0.171 0.829 Al
0.000 0.000 0.000 Al
0.000 0.766 0.766 Al
0.000 0.234 0.234 Al
```

Final energy in eV/atom: -6.088
ΔH_f (0 K) in meV per atom: -339
Calculated volume in A^3/atom: 19.66
Space group: Cmmm, No. 65

Record 5
Entry from the Alexandria database: CsDyCrBr6 after structural relaxation (GGA-PBE).

```
CsDyCrBr6
1.0
-6.838 -2.069 0.076
-2.859 -3.106 -5.765
2.259 -7.363 2.848
Cs Dy Cr Br
1 1 1 6
direct
0.000 0.000 0.000 Cs
0.333 0.333 0.500 Dy
0.667 0.667 0.500 Cr
0.986 0.381 0.307 Br
0.381 0.986 0.693 Br
0.632 0.381 0.693 Br
0.986 0.632 0.693 Br
0.381 0.632 0.307 Br
0.632 0.987 0.307 Br
```

Final energy in eV/atom: -4.235
Calculated volume in A^3/atom: 40.34
Space group: P312, No. 149
Uncorrected formation energy in meV/atom: -1444

Record 6
Entry from the Alexandria database: Er5In2Sb2 after structural relaxation (GGA-PBE).

```
Er5In2Sb2
1.0
8.043 0.000 0.000
0.000 7.160 -3.681
0.000 -0.036 8.734
Er In Sb
10 4 4
direct
0.000 0.000 0.000 Er
0.500 0.500 0.000 Er
0.834 0.807 0.275 Er
0.166 0.468 0.275 Er
0.334 0.968 0.275 Er
0.666 0.307 0.275 Er
0.166 0.193 0.725 Er
0.834 0.532 0.725 Er
0.666 0.032 0.725 Er
0.334 0.693 0.725 Er
0.629 0.870 0.000 In
0.371 0.130 0.000 In
0.129 0.630 0.000 In
0.871 0.370 0.000 In
0.000 0.203 0.407 Sb
0.500 0.703 0.407 Sb
0.000 0.797 0.593 Sb
0.500 0.297 0.593 Sb
```

Final energy in eV/atom: -4.787
Calculated volume in A^3/atom: 27.89
Space group: Cmce, No. 64
Uncorrected formation energy in meV/atom: -727

Record 7
Entry from the Alexandria database: KTi2PdO after structural relaxation (GGA-PBE).

```
KTi2PdO
1.0
4.645 0.000 0.000
0.000 4.657 0.000
0.000 0.000 4.645
K O Pd Ti
1 1 1 2
direct
0.000 0.000 0.000 K
0.500 0.500 0.500 O
0.000 0.500 0.000 Pd
0.000 0.000 0.500 Ti
0.500 0.000 0.000 Ti
```

Final energy in eV/atom: -3.126
Calculated volume in A^3/atom: 20.10
Space group: P4/mmm, No. 123
Uncorrected formation energy in meV/atom: 2281

Record 8
Entry from the Alexandria database: ScTl3 after structural relaxation (GGA-PBE).

```
ScTl3
1.0
-4.319 -0.241 4.607
1.952 -1.295 5.870
0.385 3.897 -4.960
Sc Tl
1 3
direct
0.012 0.000 0.012 Sc
0.535 0.500 0.035 Tl
0.906 0.263 0.643 Tl
0.380 0.737 0.643 Tl
```

Final energy in eV/atom: -3.416
ΔH_f (0 K) in meV per atom: -59
Calculated volume in A^3/atom: 26.38
Space group: Imm2, No. 44

Record 9
Entry from the Alexandria database: RuC4O4 after structural relaxation (GGA-PBE).

```
RuC4O4
1.0
1.124 -2.352 8.347
4.020 5.987 4.944
-6.980 -0.913 -5.187
Ru C O
2 8 8
direct
0.000 0.001 0.001 Ru
0.000 0.501 0.501 Ru
0.010 0.621 0.391 C
0.293 0.557 0.739 C
0.818 0.057 0.763 C
0.707 0.446 0.263 C
0.182 0.946 0.239 C
0.230 0.121 0.111 C
0.990 0.381 0.611 C
0.770 0.881 0.891 C
0.984 0.309 0.676 O
0.532 0.413 0.122 O
0.291 0.913 0.381 O
0.468 0.590 0.881 O
0.633 0.809 0.825 O
0.709 0.090 0.622 O
0.367 0.192 0.176 O
0.016 0.692 0.325 O
```

Final energy in eV/atom: -7.982
Calculated volume in A^3/atom: 17.80
Space group: Ibam, No. 72
Uncorrected formation energy in meV/atom: -648

Record 10
Entry from the Alexandria database: Ba2Al4Ag5 after structural relaxation (GGA-PBE).

```
Ba2Al4Ag5
1.0
-4.652 -2.623 2.346
1.097 -2.071 7.110
-4.057 4.571 4.318
Ba Al Ag
2 4 5
direct
0.291 0.776 0.642 Ba
0.709 0.224 0.358 Ba
0.381 0.067 0.171 Al
0.619 0.933 0.829 Al
0.772 0.552 0.904 Al
0.228 0.448 0.096 Al
0.201 0.247 0.841 Ag
0.799 0.753 0.159 Ag
0.000 0.500 0.500 Ag
0.711 0.247 0.841 Ag
0.289 0.753 0.159 Ag
```

Final energy in eV/atom: -3.130
ΔH_f (0 K) in meV per atom: -124
Calculated volume in A^3/atom: 24.81
Space group: C2/m, No. 12

Record 11
Entry from the Alexandria database: Pr2TmH8 after structural relaxation (GGA-PBE).

```
Pr2TmH8
1.0
-3.354 1.380 1.185
-1.813 -0.200 -4.900
0.716 -5.907 2.765
Pr Tm H
2 1 8
direct
0.168 0.668 0.336 Pr
0.832 0.332 0.664 Pr
0.500 0.000 0.000 Tm
0.651 0.901 0.303 H
0.349 0.598 0.697 H
0.170 0.170 0.339 H
0.000 0.243 0.000 H
0.830 0.830 0.661 H
0.651 0.402 0.303 H
0.349 0.099 0.697 H
0.000 0.757 0.000 H
```

Final energy in eV/atom: -4.287
Calculated volume in A^3/atom: 10.35
Space group: Immm, No. 71

Record 12
Entry from the Alexandria database: SbMo2Pt after structural relaxation (GGA-PBE).

```
SbMo2Pt
1.0
3.768 0.000 0.000
0.000 4.023 0.000
0.000 0.000 4.495
Mo Pt Sb
2 1 1
direct
0.000 0.000 0.000 Mo
0.500 0.500 0.000 Mo
0.500 0.000 0.500 Pt
0.000 0.500 0.500 Sb
```

Final energy in eV/atom: -7.816
Calculated volume in A^3/atom: 17.04
Space group: Pmmm, No. 47
Uncorrected formation energy in meV/atom: 140